VASP calculation (PBE) on Pm6Y2Zn after structural relaxation.

Geometry as POSCAR:
```
Pm6Y2Zn
1.0
3.660 0.000 0.000
0.000 9.539 0.000
0.000 -4.769 8.263
Pm Y Zn
6 2 1
direct
0.500 0.621 0.000 Pm
0.500 0.379 0.379 Pm
0.500 0.000 0.621 Pm
0.000 0.265 0.000 Pm
0.000 0.735 0.735 Pm
0.000 0.000 0.265 Pm
0.000 0.333 0.667 Y
0.000 0.667 0.333 Y
0.500 0.000 0.000 Zn
```

Values from the calculation:
VASP energy, eV per atom: -4.7889

VASP calculation (PBE) on Pm2YZn after structural relaxation.

Geometry as POSCAR:
```
Pm2YZn
1.0
-3.070 -0.638 -3.682
-2.650 -2.966 2.723
-2.617 3.746 1.533
Y Zn Pm
1 1 2
direct
0.500 0.000 0.000 Y
0.500 0.500 0.500 Zn
0.000 0.000 0.500 Pm
0.000 0.500 0.000 Pm
```

Values from the calculation:
VASP energy, eV per atom: -4.3424

VASP calculation (PBE) on Pm2YZn3 after structural relaxation.

Geometry as POSCAR:
```
Pm2YZn3
1.0
5.135 0.000 0.000
-2.567 4.447 0.000
0.000 0.000 6.295
Pm Y Zn
2 1 3
direct
0.667 0.333 0.328 Pm
0.333 0.667 0.672 Pm
0.000 0.000 0.000 Y
0.000 0.000 0.500 Zn
0.667 0.333 0.835 Zn
0.333 0.667 0.165 Zn
```

Values from the calculation:
VASP energy, eV per atom: -3.6263

Look up the VASP energy of the third one.
-3.6263 eV per atom

Among the records above, which one has the highest VASP energy?
Pm2YZn3

Number 1 is which compound?
Pm6Y2Zn

Which of these has the lowest VASP energy?
Pm6Y2Zn